Cs3HgPb2Br9: relaxed, PBE.

Geometry as POSCAR:
```
Cs3HgPb2Br9
1.0
8.3073 0.0000 0.0000
-4.1537 7.1944 0.0000
0.0000 0.0000 10.2070
Cs Hg Pb Br
3 1 2 9
direct
0.0000 0.0000 0.0000 Cs
0.3333 0.6667 0.6593 Cs
0.6667 0.3333 0.3407 Cs
0.0000 0.0000 0.5000 Hg
0.3333 0.6667 0.1738 Pb
0.6667 0.3333 0.8262 Pb
0.0000 0.5000 0.0000 Br
0.1618 0.3237 0.3398 Br
0.1618 0.8382 0.3398 Br
0.3237 0.1618 0.6602 Br
0.5000 0.0000 0.0000 Br
0.5000 0.5000 0.0000 Br
0.6763 0.8382 0.3398 Br
0.8382 0.1618 0.6602 Br
0.8382 0.6763 0.6602 Br
```

Results
The spin magnetization is 0.000 μB per formula unit. The calculation puts the total energy at -43.116 eV per cell.

=====

Cs2Hg2PbBr6: relaxed, PBE.

Geometry as POSCAR:
```
Cs2Hg2PbBr6
1.0
6.5994 -4.3251 0.0000
6.5994 4.3251 0.0000
-4.5629 0.0000 8.3130
Cs Hg Pb Br
2 2 1 6
direct
0.2073 0.2073 0.1586 Cs
0.7927 0.7927 0.8414 Cs
0.4466 0.4466 0.8406 Hg
0.5534 0.5534 0.1594 Hg
0.0000 0.0000 0.5000 Pb
0.1731 0.7129 0.2268 Br
0.2506 0.2506 0.5631 Br
0.2871 0.8269 0.7732 Br
0.7129 0.1731 0.2268 Br
0.7494 0.7494 0.4369 Br
0.8269 0.2871 0.7732 Br
```

Results
The spin magnetization is 0.000 μB per formula unit. The calculation puts the total energy at -27.497 eV per cell.

=====

CsHgPbBr5: relaxed, PBE.

Geometry as POSCAR:
```
CsHgPbBr5
1.0
5.0152 -6.7707 0.0000
5.0152 6.7707 0.0000
-4.3321 0.0000 10.0933
Cs Hg Pb Br
2 2 2 10
direct
0.1537 0.8463 0.7500 Cs
0.8463 0.1537 0.2500 Cs
0.1859 0.8141 0.2500 Hg
0.8141 0.1859 0.7500 Hg
0.5000 0.5000 0.0000 Pb
0.5000 0.5000 0.5000 Pb
0.1166 0.2514 0.9412 Br
0.1790 0.5991 0.3951 Br
0.2514 0.1166 0.4412 Br
0.4009 0.8210 0.1049 Br
0.4179 0.5821 0.7500 Br
0.5821 0.4179 0.2500 Br
0.5991 0.1790 0.8951 Br
0.7486 0.8834 0.5588 Br
0.8210 0.4009 0.6049 Br
0.8834 0.7486 0.0588 Br
```

Results
The spin magnetization is 0.000 μB per formula unit. The calculation puts the total energy at -42.071 eV per cell.

=====

CsHgPdBr2: relaxed, PBE.

Geometry as POSCAR:
```
CsHgPdBr2
1.0
5.4539 0.0000 0.0000
0.0000 5.4539 0.0000
0.0000 0.0000 5.4043
Cs Hg Pd Br
1 1 1 2
direct
0.0000 0.0000 0.0000 Cs
0.5000 0.5000 0.0000 Hg
0.5000 0.5000 0.5000 Pd
0.0000 0.5000 0.5000 Br
0.5000 0.0000 0.5000 Br
```

Results
The spin magnetization is 0.000 μB per formula unit. The calculation puts the total energy at -13.495 eV per cell.

=====

Cs3Hg2PdBr9: relaxed, PBE.

Geometry as POSCAR:
```
Cs3Hg2PdBr9
1.0
7.8575 0.0000 0.0000
-3.9287 6.8048 0.0000
0.0000 0.0000 9.6799
Cs Hg Pd Br
3 2 1 9
direct
0.0000 0.0000 0.0000 Cs
0.3333 0.6667 0.6692 Cs
0.6667 0.3333 0.3308 Cs
0.3333 0.6667 0.1756 Hg
0.6667 0.3333 0.8244 Hg
0.0000 0.0000 0.5000 Pd
0.0000 0.5000 0.0000 Br
0.1583 0.3166 0.3459 Br
0.1583 0.8417 0.3459 Br
0.3166 0.1583 0.6541 Br
0.5000 0.0000 0.0000 Br
0.5000 0.5000 0.0000 Br
0.6834 0.8417 0.3459 Br
0.8417 0.1583 0.6541 Br
0.8417 0.6834 0.6541 Br
```

Results
The spin magnetization is 0.000 μB per formula unit. The calculation puts the total energy at -37.686 eV per cell.

=====

CsHg2PdBr8: relaxed, PBE.

Geometry as POSCAR:
```
CsHg2PdBr8
1.0
6.6841 0.0000 0.0000
0.4553 7.2743 0.0000
0.7491 2.7450 9.0531
Cs Hg Pd Br
1 2 1 8
direct
0.0000 0.0000 0.0000 Cs
0.4753 0.3170 0.3122 Hg
0.5247 0.6830 0.6878 Hg
0.0000 0.5000 0.5000 Pd
0.1396 0.5527 0.7246 Br
0.2282 0.1580 0.5419 Br
0.2783 0.6725 0.3329 Br
0.4818 0.2019 0.0793 Br
0.5182 0.7981 0.9207 Br
0.7217 0.3275 0.6671 Br
0.7718 0.8420 0.4581 Br
0.8604 0.4473 0.2754 Br
```

Results
The spin magnetization is 1.018 μB per formula unit. The calculation puts the total energy at -27.047 eV per cell.

=====

CsPmHgBr6: relaxed, PBE.

Geometry as POSCAR:
```
CsPmHgBr6
1.0
7.5073 0.0000 0.0000
-3.7536 6.5015 0.0000
0.0000 0.0000 8.0382
Cs Pm Hg Br
1 1 1 6
direct
0.0000 0.0000 0.0000 Cs
0.3333 0.6667 0.5000 Pm
0.6667 0.3333 0.5000 Hg
0.3833 0.0021 0.7101 Br
0.3833 0.3812 0.2899 Br
0.6188 0.0021 0.2899 Br
0.6188 0.6167 0.7101 Br
0.9979 0.3812 0.7101 Br
0.9979 0.6167 0.2899 Br
```

Results
The spin magnetization is 0.000 μB per formula unit. The calculation puts the total energy at -28.418 eV per cell.

=====

Cs2PmHgBr6: relaxed, PBE.

Geometry as POSCAR:
```
Cs2PmHgBr6
1.0
8.4012 0.0000 0.0000
0.0000 11.8492 0.0000
0.0000 0.0000 8.4146
Cs Pm Hg Br
4 2 2 12
direct
0.2500 0.9996 0.2462 Cs
0.2500 0.5004 0.2462 Cs
0.7500 0.0004 0.7538 Cs
0.7500 0.4996 0.7538 Cs
0.2500 0.2500 0.7531 Pm
0.7500 0.7500 0.2469 Pm
0.2500 0.7500 0.7463 Hg
0.7500 0.2500 0.2537 Hg
0.0077 0.2500 0.5134 Br
0.0095 0.2500 0.9950 Br
0.2500 0.0081 0.7550 Br
0.2500 0.4919 0.7550 Br
0.4905 0.2500 0.9950 Br
0.4923 0.2500 0.5134 Br
0.5077 0.7500 0.4866 Br
0.5095 0.7500 0.0050 Br
0.7500 0.5081 0.2450 Br
0.7500 0.9919 0.2450 Br
0.9905 0.7500 0.0050 Br
0.9923 0.7500 0.4866 Br
```

Results
The spin magnetization is 0.000 μB per formula unit. The calculation puts the total energy at -63.521 eV per cell.

=====

CsPmHg2Br8: relaxed, PBE.

Geometry as POSCAR:
```
CsPmHg2Br8
1.0
6.9033 0.0000 0.0000
0.3484 8.1522 0.0000
1.4182 3.6277 9.4585
Cs Pm Hg Br
1 1 2 8
direct
0.0000 0.0000 0.0000 Cs
0.0000 0.5000 0.5000 Pm
0.4393 0.5391 0.2036 Hg
0.5607 0.4609 0.7964 Hg
0.1597 0.4557 0.7579 Br
0.2486 0.7925 0.3341 Br
0.2953 0.2701 0.4190 Br
0.4663 0.7594 0.9508 Br
0.5337 0.2406 0.0492 Br
0.7047 0.7299 0.5810 Br
0.7514 0.2075 0.6659 Br
0.8403 0.5443 0.2421 Br
```

Results
The spin magnetization is 0.000 μB per formula unit. The calculation puts the total energy at -33.308 eV per cell.

=====

CsPrHgBr6: relaxed, PBE.

Geometry as POSCAR:
```
CsPrHgBr6
1.0
7.5618 0.0000 0.0000
-3.7809 6.5487 0.0000
0.0000 0.0000 8.0202
Cs Pr Hg Br
1 1 1 6
direct
0.0000 0.0000 0.0000 Cs
0.6667 0.3333 0.5000 Pr
0.3333 0.6667 0.5000 Hg
0.0063 0.3873 0.2869 Br
0.0063 0.6190 0.7131 Br
0.3810 0.3873 0.7131 Br
0.3810 0.9937 0.2869 Br
0.6127 0.6190 0.2869 Br
0.6127 0.9937 0.7131 Br
```

Results
The spin magnetization is 0.000 μB per formula unit. The calculation puts the total energy at -28.414 eV per cell.

=====

Cs2PrHgBr6: relaxed, PBE.

Geometry as POSCAR:
```
Cs2PrHgBr6
1.0
8.4631 0.0000 0.0000
0.0000 11.9274 0.0000
0.0000 0.0000 8.4556
Cs Pr Hg Br
4 2 2 12
direct
0.2500 0.0005 0.2487 Cs
0.2500 0.4995 0.2487 Cs
0.7500 0.9995 0.7513 Cs
0.7500 0.5005 0.7513 Cs
0.2500 0.2500 0.7479 Pr
0.7500 0.7500 0.2521 Pr
0.2500 0.7500 0.7517 Hg
0.7500 0.2500 0.2483 Hg
0.0062 0.2500 0.9900 Br
0.0084 0.2500 0.5039 Br
0.2500 0.0064 0.7500 Br
0.2500 0.4936 0.7500 Br
0.4916 0.2500 0.5039 Br
0.4938 0.2500 0.9900 Br
0.5062 0.7500 0.0100 Br
0.5084 0.7500 0.4961 Br
0.7500 0.5064 0.2500 Br
0.7500 0.9936 0.2500 Br
0.9916 0.7500 0.4961 Br
0.9938 0.7500 0.0100 Br
```

Results
The spin magnetization is 0.000 μB per formula unit. The calculation puts the total energy at -63.460 eV per cell.

=====

CsHgPtBr6: relaxed, PBE.

Geometry as POSCAR:
```
CsHgPtBr6
1.0
3.7338 -5.9337 0.0000
3.7338 5.9337 0.0000
-0.5189 0.0000 8.0886
Cs Hg Pt Br
1 1 1 6
direct
0.0000 0.0000 0.0000 Cs
0.3207 0.6793 0.5000 Hg
0.6701 0.3299 0.5000 Pt
0.3835 0.3463 0.3197 Br
0.3957 0.0249 0.7056 Br
0.6536 0.0238 0.3221 Br
0.6537 0.6165 0.6803 Br
0.9751 0.6043 0.2944 Br
0.9762 0.3464 0.6779 Br
```

Results
The spin magnetization is 1.010 μB per formula unit. The calculation puts the total energy at -22.816 eV per cell.